[1]
DFT (GGA-PBE) results for Ca3Sc after structural relaxation.

```
data_Ca3Sc
_symmetry_space_group_name_H-M 'P m -3 n'
_symmetry_Int_Tables_number 223
_symmetry_space_group_name_Hall '-P 4n 2 3'
_cell_length_a 6.670
_cell_length_b 6.670
_cell_length_c 6.670
_cell_angle_alpha 90.00
_cell_angle_beta 90.00
_cell_angle_gamma 90.00
loop_
_atom_site_label
_atom_site_fract_x
_atom_site_fract_y
_atom_site_fract_z
Ca1 0.000 0.250 0.500
Sc1 0.000 0.000 0.000
```

Values from the calculation:
E ... -2.841 eV per atom
M_tot ... 0.58 μB per formula unit
E above lowest polymorph ... 98 meV per atom
Calculated formation energy ... 0.243 eV per atom

---

[2]
DFT (GGA-PBE) results for CaScSe2 after structural relaxation.

```
data_CaScSe2
_symmetry_space_group_name_H-M 'R 3 m'
_symmetry_Int_Tables_number 160
_symmetry_space_group_name_Hall 'R 3 -2"'
_cell_length_a 3.9336
_cell_length_b 3.9336
_cell_length_c 20.9208
_cell_angle_alpha 90.00
_cell_angle_beta 90.00
_cell_angle_gamma 120.00
loop_
_atom_site_label
_atom_site_fract_x
_atom_site_fract_y
_atom_site_fract_z
Ca1 0.0000 0.0000 0.0000
Sc1 0.0000 0.0000 0.1731
Se1 0.0000 0.0000 0.5795
Se2 0.0000 0.0000 0.7612
```

Values from the calculation:
E ... -5.540 eV per atom
M_tot ... 0.00 μB per formula unit
Formation energy without anion corrections ... -1714 meV/atom
E above lowest polymorph ... 67 meV per atom

---

[3]
DFT (GGA-PBE) results for Ca2ScSe after structural relaxation.

```
data_Ca2ScSe
_symmetry_space_group_name_H-M 'P 4/m m m'
_symmetry_Int_Tables_number 123
_symmetry_space_group_name_Hall '-P 4 2'
_cell_length_a 5.281
_cell_length_b 5.281
_cell_length_c 3.990
_cell_angle_alpha 90.00
_cell_angle_beta 90.00
_cell_angle_gamma 90.00
loop_
_atom_site_label
_atom_site_fract_x
_atom_site_fract_y
_atom_site_fract_z
Ca1 0.000 0.500 0.000
Sc1 0.000 0.000 0.500
Se1 0.500 0.500 0.500
```

Values from the calculation:
E ... -3.809 eV per atom
M_tot ... 0.00 μB per formula unit
Formation energy without anion corrections ... -354 meV/atom